First-principles (PBE-GGA) data for crystalline BaBi at its relaxed geometry, as listed in the Alexandria database.

```
BaBi
1.0
9.8705 0.0000 0.0000
0.0000 9.8705 0.0000
0.0000 0.0000 9.8705
Ba Bi
6 6
Cartesian
0.0000 4.9352 2.4676 Ba
2.4676 0.0000 4.9352 Ba
7.4028 0.0000 4.9352 Ba
0.0000 4.9352 7.4028 Ba
4.9352 7.4028 0.0000 Ba
4.9352 2.4676 0.0000 Ba
0.0000 7.4028 4.9352 Bi
7.4028 4.9352 0.0000 Bi
4.9352 0.0000 2.4676 Bi
4.9352 0.0000 7.4028 Bi
2.4676 4.9352 0.0000 Bi
0.0000 2.4676 4.9352 Bi
```

- Space group: Pm-3n, No. 223
- Formation enthalpy at 0 K: -0.198 eV per atom
- Energy: -3.100 eV/atom

=====

First-principles (PBE-GGA) data for crystalline La2NbCrHg at its relaxed geometry, as listed in the Alexandria database.

```
La2NbCrHg
1.0
5.8677 0.0000 0.0000
0.0000 4.8193 0.0000
0.0000 0.0000 5.8677
Cr Nb Hg La
1 1 1 2
Cartesian
0.0000 2.4097 0.0000 Cr
2.9339 2.4097 2.9339 Nb
0.0000 0.0000 0.0000 Hg
2.9339 0.0000 0.0000 La
0.0000 0.0000 2.9339 La
```

- Space group: P4/mmm, No. 123
- Formation enthalpy at 0 K: 1.369 eV per atom
- Energy: -4.601 eV/atom

=====

First-principles (PBE-GGA) data for crystalline AcPm12Sn7 at its relaxed geometry, as listed in the Alexandria database.

```
AcPm12Sn7
1.0
9.5835 -0.4303 -0.6458
-3.0781 9.0860 -0.6458
-3.0781 -4.0955 8.1362
Pm Sn Ac
12 7 1
Cartesian
6.1275 -1.4296 1.7514 Pm
-2.7002 5.9898 5.0931 Pm
0.7487 5.3187 3.2986 Pm
4.9008 2.1975 3.2990 Pm
2.6786 -0.7586 3.5460 Pm
-3.0771 -0.4976 5.7395 Pm
0.7481 0.9960 6.1789 Pm
6.5044 5.0577 1.1051 Pm
0.3777 6.4884 -0.6448 Pm
-1.4735 2.3626 3.5456 Pm
3.0496 -1.9283 7.4893 Pm
2.6792 3.5642 0.6657 Pm
-0.1390 4.0640 6.1000 Sn
-0.5151 -0.6855 3.5755 Sn
3.5663 0.4962 0.7445 Sn
-0.5152 3.5636 0.7447 Sn
1.7136 2.2801 3.4223 Sn
3.9424 5.2456 3.2691 Sn
3.9425 0.9965 6.0999 Sn
0.0000 0.0000 0.0000 Ac
```

- Space group: R-3m, No. 166
- Formation enthalpy at 0 K: -0.469 eV per atom
- Energy: -4.926 eV/atom

=====

First-principles (PBE-GGA) data for crystalline LaZrBr2 at its relaxed geometry, as listed in the Alexandria database.

```
LaZrBr2
1.0
5.5016 0.0000 0.0000
2.7508 4.7646 0.0000
2.7508 1.5882 4.4921
Br La Zr
2 1 1
Cartesian
0.0000 0.0000 0.0000 Br
2.7508 1.5882 1.1230 Br
5.5016 3.1764 2.2460 La
8.2524 4.7646 3.3690 Zr
```

- Raw formation energy: -0.5 eV per formula unit
- Space group: F-43m, No. 216
- Energy: -4.335 eV/atom
- Energy above the most stable polymorph in this dataset: 815 meV/atom

=====

First-principles (PBE-GGA) data for crystalline TbTm4Ni4 at its relaxed geometry, as listed in the Alexandria database.

```
TbTm4Ni4
1.0
-3.8607 2.8408 2.6836
-5.2620 -0.8980 -6.6195
-2.9845 -7.2227 3.3523
Ni Tm Tb
8 8 2
Cartesian
-7.1398 -5.6804 -3.0071 Ni
-4.0878 -0.8319 -0.6289 Ni
-7.1603 -5.0801 -0.5519 Ni
-5.4256 -3.0472 2.2941 Ni
-7.4732 -3.9746 3.4500 Ni
-7.5408 -1.6004 -2.2805 Ni
-1.9658 -1.8081 0.3371 Ni
-7.6355 0.9034 -1.9472 Ni
-5.3798 -0.1094 -3.1309 Tm
-5.9358 -3.4285 -3.7804 Tm
-3.0864 -4.1214 1.0524 Tm
-6.1772 0.8894 0.2871 Tm
-5.9517 -5.7412 2.0080 Tm
-9.1458 -4.0206 -2.1491 Tm
-3.7371 -0.6885 2.1047 Tm
-9.0150 -3.8992 1.2737 Tm
0.0000 0.0000 0.0000 Tb
-6.0536 -2.6399 -0.2918 Tb
```

- Space group: P4_2/n, No. 86
- Formation enthalpy at 0 K: -0.293 eV per atom
- Energy: -5.364 eV/atom

=====

First-principles (PBE-GGA) data for crystalline ZrAsOF2 at its relaxed geometry, as listed in the Alexandria database.

```
ZrAsOF2
1.0
-2.1415 2.3435 3.0592
1.6034 -2.6406 3.1453
3.1817 2.3974 0.3907
Zr O F As
1 1 2 1
Cartesian
1.3218 1.0502 3.2976 Zr
1.5909 1.1987 0.1953 O
0.8017 -1.3203 1.5726 F
-1.0707 1.1718 1.5296 F
0.0000 0.0000 0.0000 As
```

- Raw formation energy: -3.9 eV per formula unit
- Space group: P4/mmm, No. 123
- Energy: -5.164 eV/atom
- Energy above the most stable polymorph in this dataset: 1165 meV/atom

=====

First-principles (PBE-GGA) data for crystalline CaEr2ScBi4 at its relaxed geometry, as listed in the Alexandria database.

```
CaEr2ScBi4
1.0
6.2745 0.3411 0.0000
-0.3424 6.2744 0.0000
-2.9660 -3.3078 6.2805
Bi Er Sc Ca
4 2 1 1
Cartesian
5.7281 3.0649 0.0000 Bi
2.4246 6.0271 0.0000 Bi
2.5932 2.8919 3.0166 Bi
-0.3729 -0.4158 3.2639 Bi
-0.5439 2.7216 3.1402 Er
2.7645 -0.2451 3.1402 Er
2.5907 2.8892 0.0000 Sc
2.5959 2.8950 6.2805 Ca
```

- Space group: Fmm2, No. 42
- Formation enthalpy at 0 K: -0.721 eV per atom
- Energy: -4.844 eV/atom